Material: LiMnPt
Method: DFT, GGA-PBE
State: relaxed

* V: 84.0 Å³ per cell
* energy of formation from the pure elements: -66 meV/atom
* uncorrected energy: -0.21217 Ha/atom

a = 4.2332 Å, b = 4.2332 Å, c = 5.4110 Å
α = 90.00°, β = 90.00°, γ = 120.00°
Fractional positions:
Li: 0.0000 0.0000 0.0000
Li: 0.0000 0.0000 0.5000
Mn: 0.6667 0.3333 0.1796
Mn: 0.6667 0.3333 0.8204
Pt: 0.3333 0.6667 0.2441
Pt: 0.3333 0.6667 0.7559